# GdTmGaGe | the Alexandria database | PBE | relaxed
# - Fermi-level density of states (states/eV/cell) = 2.40
# - DFT formation energy (kJ/mol of atoms) = -56.2
# - total magnetization (μB/f.u.) = 7.06
# - theoretical density (Mg/m³) = 8.551
# - raw total energy (eV/cell) = -28.53
# - space group = No. 216
data_GdTmGaGe
_chemical_formula_sum 'Gd1 Tm1 Ga1 Ge1'
_space_group_name_H-M_alt 'P 1'
_space_group_IT_number 1
_cell_length_a 5.049
_cell_length_b 5.049
_cell_length_c 5.049
_cell_angle_alpha 60.00
_cell_angle_beta 60.00
_cell_angle_gamma 60.00
loop_
_space_group_symop_operation_xyz
'x,y,z'
loop_
_atom_site_label
_atom_site_type_symbol
_atom_site_fract_x
_atom_site_fract_y
_atom_site_fract_z
Gd1 Gd 0.000 0.000 0.000
Tm1 Tm 0.500 0.500 0.500
Ga1 Ga 0.750 0.750 0.750
Ge1 Ge 0.250 0.250 0.250